A relaxed BaCd2Cl7 crystal, computed with PBE-GGA.

abc: 8.4454 13.5194 4.9745
angles: 90.00 90.00 90.00
Space group Cmmm (No. 65)
Inequivalent atoms, fractional coordinates:
1 Ba 0.0000 0.0000 0.0000 [2 per cell]
2 Cd 0.0000 0.2973 0.5000 [4 per cell]
3 Cl 0.0000 0.2581 0.0000 [4 per cell]
4 Cl 0.0000 0.5000 0.5000 [2 per cell]
5 Cl 0.1923 0.1245 0.5000 [8 per cell]

A relaxed BaCdCl2 crystal, computed with PBE-GGA.

Output
polymorph energy (0 for the lowest one) = 4.595 kcal/mol of atoms

abc: 4.4257 4.4257 6.3988
angles: 90.00 90.00 90.00
Space group P4mm (No. 99)
Inequivalent atoms, fractional coordinates:
1 Ba 0.0000 0.0000 0.0000 [1 per cell]
2 Cd 0.5000 0.5000 0.3714 [1 per cell]
3 Cl 0.0000 0.0000 0.5146 [1 per cell]
4 Cl 0.5000 0.5000 0.8317 [1 per cell]

A relaxed Ba2CdCl crystal, computed with PBE-GGA.

Output
polymorph energy (0 for the lowest one) = 15.282 kcal/mol of atoms

abc: 8.4339 8.4339 8.4339
angles: 90.00 90.00 90.00
Space group F-43m (No. 216)
Inequivalent atoms, fractional coordinates:
1 Ba 0.0000 0.0000 0.0000 [4 per cell]
2 Ba 0.2500 0.2500 0.2500 [4 per cell]
3 Cd 0.0000 0.0000 0.5000 [4 per cell]
4 Cl 0.2500 0.2500 0.7500 [4 per cell]

A relaxed Ba2CdCl crystal, computed with PBE-GGA.

Output
polymorph energy (0 for the lowest one) = 1.761 kcal/mol of atoms

abc: 4.0148 4.0148 9.0197
angles: 90.00 90.00 90.00
Space group P4/mmm (No. 123)
Inequivalent atoms, fractional coordinates:
1 Ba 0.0000 0.0000 0.2443 [2 per cell]
2 Cd 0.5000 0.5000 0.0000 [1 per cell]
3 Cl 0.5000 0.5000 0.5000 [1 per cell]

A relaxed BaCdCl2 crystal, computed with PBE-GGA.

Output
polymorph energy (0 for the lowest one) = 2.211 kcal/mol of atoms

abc: 16.5868 4.1139 4.8035
angles: 90.00 106.63 90.00
Space group Cm (No. 8)
Inequivalent atoms, fractional coordinates:
1 Ba 0.0000 0.0000 0.0000 [2 per cell]
2 Cd 0.2261 0.5000 0.2215 [2 per cell]
3 Cl 0.0403 0.5000 0.5396 [2 per cell]
4 Cl 0.3639 0.0000 0.8651 [2 per cell]

A relaxed BaCdCl crystal, computed with PBE-GGA.

Output
polymorph energy (0 for the lowest one) = 0.000 kcal/mol of atoms

abc: 12.9995 4.8902 8.4904
angles: 90.00 90.00 90.00
Space group Amm2 (No. 38)
Inequivalent atoms, fractional coordinates:
1 Ba 0.1756 0.0000 0.0000 [4 per cell]
2 Cd 0.0000 0.0000 0.6672 [2 per cell]
3 Cd 0.5000 0.0000 0.9954 [2 per cell]
4 Cl 0.2750 0.0000 0.6670 [4 per cell]

A relaxed Ba2CdCl crystal, computed with PBE-GGA.

Output
polymorph energy (0 for the lowest one) = 4.140 kcal/mol of atoms

abc: 4.8146 7.1475 9.6781
angles: 90.00 90.00 90.00
Space group Immm (No. 71)
Inequivalent atoms, fractional coordinates:
1 Ba 0.0000 0.0000 0.2164 [4 per cell]
2 Cd 0.0000 0.5000 0.0000 [2 per cell]
3 Cl 0.0000 0.5000 0.5000 [2 per cell]

A relaxed Ba2CdCl crystal, computed with PBE-GGA.

Output
polymorph energy (0 for the lowest one) = 5.048 kcal/mol of atoms

abc: 4.7434 4.7434 14.8115
angles: 90.00 90.00 90.00
Space group I-4m2 (No. 119)
Inequivalent atoms, fractional coordinates:
1 Ba 0.0000 0.0000 0.0000 [2 per cell]
2 Ba 0.0000 0.5000 0.2500 [2 per cell]
3 Cd 0.0000 0.5000 0.7500 [2 per cell]
4 Cl 0.0000 0.0000 0.5000 [2 per cell]

A relaxed BaCd3Cl crystal, computed with PBE-GGA.

Output
polymorph energy (0 for the lowest one) = 0.000 kcal/mol of atoms

abc: 5.7792 5.7792 5.7792
angles: 90.00 90.00 90.00
Space group Pm-3m (No. 221)
Inequivalent atoms, fractional coordinates:
1 Ba 0.0000 0.0000 0.0000 [1 per cell]
2 Cd 0.0000 0.5000 0.5000 [3 per cell]
3 Cl 0.5000 0.5000 0.5000 [1 per cell]

A relaxed Ba2CdCl crystal, computed with PBE-GGA.

Output
polymorph energy (0 for the lowest one) = 0.761 kcal/mol of atoms

abc: 4.7049 4.7049 25.2440
angles: 90.00 90.00 120.00
Space group R-3m (No. 166, hexagonal axes)
Inequivalent atoms, fractional coordinates:
1 Ba 0.0000 0.0000 0.2455 [6 per cell]
2 Cd 0.0000 0.0000 0.0000 [3 per cell]
3 Cl 0.0000 0.0000 0.5000 [3 per cell]

A relaxed BaCdCl crystal, computed with PBE-GGA.

Output
polymorph energy (0 for the lowest one) = 0.300 kcal/mol of atoms

abc: 4.1140 4.1140 14.2742
angles: 90.00 90.00 90.00
Space group I4mm (No. 107)
Inequivalent atoms, fractional coordinates:
1 Ba 0.0000 0.0000 0.0000 [2 per cell]
2 Cd 0.0000 0.0000 0.6639 [2 per cell]
3 Cl 0.0000 0.0000 0.4120 [2 per cell]

A relaxed Ba2CdCl crystal, computed with PBE-GGA.

Output
polymorph energy (0 for the lowest one) = 0.990 kcal/mol of atoms

abc: 4.8415 6.9847 4.8497
angles: 90.00 90.00 90.00
Space group Pmm2 (No. 25)
Inequivalent atoms, fractional coordinates:
1 Ba 0.0000 0.0000 0.0000 [1 per cell]
2 Ba 0.5000 0.5000 0.5003 [1 per cell]
3 Cd 0.0000 0.5000 0.0001 [1 per cell]
4 Cl 0.5000 0.0000 0.5016 [1 per cell]

A relaxed Ba12Cd3Cl5 crystal, computed with PBE-GGA.

abc: 19.7385 19.7385 19.7385
angles: 90.00 90.00 90.00
Space group Ia-3d (No. 230)
Inequivalent atoms, fractional coordinates:
1 Ba 0.0272 0.0664 0.6523 [96 per cell]
2 Cd 0.0000 0.2500 0.1250 [24 per cell]
3 Cl 0.0000 0.0000 0.0000 [16 per cell]
4 Cl 0.0000 0.2500 0.3750 [24 per cell]

A relaxed Ba2CdCl crystal, computed with PBE-GGA.

Output
polymorph energy (0 for the lowest one) = 0.268 kcal/mol of atoms

abc: 4.3142 4.1733 9.1342
angles: 90.00 90.05 90.00
Space group P2/m (No. 10)
Inequivalent atoms, fractional coordinates:
1 Ba 0.0011 0.0000 0.2309 [2 per cell]
2 Cd 0.5000 0.5000 0.0000 [1 per cell]
3 Cl 0.0000 0.5000 0.5000 [1 per cell]

A relaxed BaCdCl2 crystal, computed with PBE-GGA.

Output
polymorph energy (0 for the lowest one) = 8.193 kcal/mol of atoms

abc: 7.8410 7.8410 7.8410
angles: 90.00 90.00 90.00
Space group F-43m (No. 216)
Inequivalent atoms, fractional coordinates:
1 Ba 0.0000 0.0000 0.0000 [4 per cell]
2 Cd 0.2500 0.2500 0.2500 [4 per cell]
3 Cl 0.0000 0.0000 0.5000 [4 per cell]
4 Cl 0.2500 0.2500 0.7500 [4 per cell]

A relaxed BaCdCl2 crystal, computed with PBE-GGA.

Output
polymorph energy (0 for the lowest one) = 0.044 kcal/mol of atoms

abc: 4.7869 4.7869 32.7155
angles: 90.00 90.00 120.00
Space group R-3m (No. 166, hexagonal axes)
Inequivalent atoms, fractional coordinates:
1 Ba 0.0000 0.0000 0.0000 [3 per cell]
2 Cd 0.0000 0.0000 0.5000 [3 per cell]
3 Cl 0.0000 0.0000 0.3763 [6 per cell]

A relaxed Ba2CdCl crystal, computed with PBE-GGA.

Output
polymorph energy (0 for the lowest one) = 5.370 kcal/mol of atoms

abc: 8.4821 8.4821 8.4821
angles: 90.00 90.00 90.00
Space group Fm-3m (No. 225)
Inequivalent atoms, fractional coordinates:
1 Ba 0.2500 0.2500 0.2500 [8 per cell]
2 Cd 0.0000 0.0000 0.0000 [4 per cell]
3 Cl 0.0000 0.0000 0.5000 [4 per cell]

A relaxed BaCdCl crystal, computed with PBE-GGA.

Output
polymorph energy (0 for the lowest one) = 1.332 kcal/mol of atoms

abc: 4.7203 4.7203 6.9085
angles: 90.00 90.00 120.00
Space group P3m1 (No. 156)
Inequivalent atoms, fractional coordinates:
1 Ba 0.0000 0.0000 0.0000 [1 per cell]
2 Cd 0.6667 0.3333 0.3452 [1 per cell]
3 Cl 0.3333 0.6667 0.7988 [1 per cell]

A relaxed BaCd4Cl12 crystal, computed with PBE-GGA.

abc: 9.9047 9.9047 9.9047
angles: 90.00 90.00 90.00
Space group Im-3 (No. 204)
Inequivalent atoms, fractional coordinates:
1 Ba 0.0000 0.0000 0.0000 [2 per cell]
2 Cd 0.2500 0.2500 0.2500 [8 per cell]
3 Cl 0.0000 0.2971 0.1676 [24 per cell]

A relaxed BaCdCl2 crystal, computed with PBE-GGA.

Output
polymorph energy (0 for the lowest one) = 2.940 kcal/mol of atoms

abc: 9.0756 9.0756 12.0756
angles: 90.00 90.00 90.00
Space group I-42d (No. 122)
Inequivalent atoms, fractional coordinates:
1 Ba 0.0000 0.0000 0.0000 [4 per cell]
2 Cd 0.0000 0.0000 0.5000 [4 per cell]
3 Cl 0.1256 0.2500 0.1250 [8 per cell]

A relaxed Ba2CdCl crystal, computed with PBE-GGA.

Output
polymorph energy (0 for the lowest one) = 0.000 kcal/mol of atoms

abc: 4.3219 4.3219 17.0295
angles: 90.00 90.00 90.00
Space group I4mm (No. 107)
Inequivalent atoms, fractional coordinates:
1 Ba 0.0000 0.0000 0.0000 [2 per cell]
2 Ba 0.0000 0.0000 0.2437 [2 per cell]
3 Cd 0.0000 0.0000 0.6395 [2 per cell]
4 Cl 0.0000 0.0000 0.4300 [2 per cell]

A relaxed Ba2CdCl crystal, computed with PBE-GGA.

Output
polymorph energy (0 for the lowest one) = 1.588 kcal/mol of atoms

abc: 4.5481 4.5481 27.2260
angles: 90.00 90.00 120.00
Space group R3m (No. 160, hexagonal axes)
Inequivalent atoms, fractional coordinates:
1 Ba 0.0000 0.0000 0.0000 [3 per cell]
2 Ba 0.0000 0.0000 0.1649 [3 per cell]
3 Cd 0.0000 0.0000 0.5829 [3 per cell]
4 Cl 0.0000 0.0000 0.4142 [3 per cell]

A relaxed BaCdCl2 crystal, computed with PBE-GGA.

Output
polymorph energy (0 for the lowest one) = 18.025 kcal/mol of atoms

abc: 4.6186 4.6186 25.8846
angles: 90.00 90.00 120.00
Space group R-3m (No. 166, hexagonal axes)
Inequivalent atoms, fractional coordinates:
1 Ba 0.0000 0.0000 0.0000 [3 per cell]
2 Cd 0.0000 0.0000 0.5000 [3 per cell]
3 Cl 0.0000 0.0000 0.1154 [6 per cell]

A relaxed BaCdCl2 crystal, computed with PBE-GGA.

Output
polymorph energy (0 for the lowest one) = 0.000 kcal/mol of atoms

abc: 8.3092 4.7957 9.8302
angles: 90.00 106.17 90.00
Space group C2/m (No. 12)
Inequivalent atoms, fractional coordinates:
1 Ba 0.0000 0.0000 0.0000 [2 per cell]
2 Cd 0.0000 0.5000 0.5000 [2 per cell]
3 Cl 0.2155 0.5000 0.1481 [4 per cell]

A relaxed BaCdCl2 crystal, computed with PBE-GGA.

Output
polymorph energy (0 for the lowest one) = 4.724 kcal/mol of atoms

abc: 4.6580 4.6580 11.0276
angles: 90.00 90.00 90.00
Space group I-4m2 (No. 119)
Inequivalent atoms, fractional coordinates:
1 Ba 0.0000 0.0000 0.0000 [2 per cell]
2 Cd 0.0000 0.5000 0.7500 [2 per cell]
3 Cl 0.0000 0.0000 0.5000 [2 per cell]
4 Cl 0.0000 0.5000 0.2500 [2 per cell]

| no. | uncorrected formation energy (eV per formula unit) | calculated volume (Å³ per cell) |
| --- | --- | --- |
| 1 | -12.21 | 568.0 |
| 2 | -5.88 | 125.3 |
| 3 | -1.44 | 599.9 |
| 4 | -3.79 | 145.4 |
| 5 | -6.29 | 314.1 |
| 6 | -3.16 | 539.7 |
| 7 | -3.38 | 333.0 |
| 8 | -3.22 | 333.3 |
| 9 | -0.54 | 193.0 |
| 10 | -3.96 | 483.9 |
| 11 | -3.12 | 241.6 |
| 12 | -3.92 | 164.0 |
| 13 | -18.19 | 7690.3 |
| 14 | -4.05 | 164.5 |
| 15 | -5.25 | 482.1 |
| 16 | -6.67 | 649.2 |
| 17 | -3.16 | 610.3 |
| 18 | -2.99 | 133.3 |
| 19 | -17.91 | 971.7 |
| 20 | -6.16 | 994.6 |
| 21 | -4.10 | 318.1 |
| 22 | -3.82 | 487.7 |
| 23 | -3.55 | 478.2 |
| 24 | -6.67 | 376.2 |
| 25 | -5.85 | 239.3 |